(1)
Na2LiMnCl5, relaxed, DFT PBE-GGA; energy relative to the elements, uncorrected = -13.70 eV per formula unit; symmetry = Cmc2_1; magnetization = 0.5556 μB/atom
1.0
1.965 -7.902 0.000
1.965 7.902 0.000
0.000 0.000 13.283
Na Li Mn Cl
4 2 2 10
direct
0.097 0.903 0.500
0.158 0.842 0.139
0.842 0.158 0.639
0.903 0.097 0.000
0.226 0.774 0.880
0.774 0.226 0.380
0.458 0.542 0.289
0.542 0.458 0.789
0.061 0.939 0.897
0.267 0.733 0.516
0.305 0.695 0.255
0.384 0.616 0.839
0.500 0.500 0.117
0.500 0.500 0.617
0.616 0.384 0.339
0.695 0.305 0.755
0.733 0.267 0.016
0.939 0.061 0.397

=====

(2)
TaCo2BS, relaxed, DFT PBE-GGA; energy above the most stable polymorph in this dataset = 0 meV/atom; energy relative to the elements, uncorrected = 3.67 eV per formula unit; symmetry = P4/mmm; magnetization = 0.3707 μB/atom
1.0
3.926 0.000 0.000
0.000 3.926 0.000
0.000 0.000 4.664
Ta Co B S
1 2 1 1
direct
0.000 0.000 0.000
0.000 0.500 0.500
0.500 0.000 0.500
0.500 0.500 0.000
0.000 0.000 0.500

=====

(3)
KTl6Ag6, relaxed, DFT PBE-GGA; symmetry = Immm; formation enthalpy at 0 K = 0.0300 eV/atom; magnetization = 0.0000 μB/atom
1.0
-2.969 5.120 5.227
2.969 -5.120 5.227
2.969 5.120 -5.227
K Tl Ag
1 6 6
direct
0.000 0.000 0.000
0.184 0.500 0.684
0.344 0.000 0.344
0.351 0.351 0.000
0.649 0.649 0.000
0.656 0.000 0.656
0.816 0.500 0.316
0.000 0.000 0.500
0.000 0.500 0.000
0.236 0.736 0.500
0.500 0.000 0.000
0.500 0.500 0.500
0.764 0.264 0.500

=====

(4)
Cs2RhAu2, relaxed, DFT PBE-GGA; symmetry = P4/mbm; formation enthalpy at 0 K = 0.1853 eV/atom; magnetization = 0.0006 μB/atom
1.0
7.117 0.000 0.000
0.000 7.117 0.000
0.000 0.000 5.835
Cs Rh Au
4 2 4
direct
0.180 0.320 0.000
0.320 0.820 0.000
0.680 0.180 0.000
0.820 0.680 0.000
0.000 0.000 0.500
0.500 0.500 0.500
0.142 0.642 0.500
0.358 0.142 0.500
0.642 0.858 0.500
0.858 0.358 0.500

=====

(5)
LaAgN2O, relaxed, DFT PBE-GGA; energy relative to the elements, uncorrected = 3.22 eV per formula unit; symmetry = P4/mmm; magnetization = 0.7883 μB/atom
1.0
4.902 0.000 0.000
0.000 4.902 0.000
0.000 0.000 4.424
La Ag N O
1 1 2 1
direct
0.000 0.000 0.000
0.500 0.500 0.500
0.000 0.500 0.000
0.500 0.000 0.000
0.000 0.000 0.500

=====

(6)
BaNaHg2Au, relaxed, DFT PBE-GGA; energy above the most stable polymorph in this dataset = 216 meV/atom; symmetry = P4/mmm; formation enthalpy at 0 K = -0.2351 eV/atom; magnetization = 0.0000 μB/atom
1.0
5.462 0.000 0.000
0.000 5.462 0.000
0.000 0.000 5.386
Ba Na Hg Au
1 1 2 1
direct
0.000 0.000 0.000
0.500 0.500 0.000
0.000 0.500 0.500
0.500 0.000 0.500
0.500 0.500 0.500

=====

(7)
K5Pm3Cl12, relaxed, DFT PBE-GGA; energy relative to the elements, uncorrected = -36.41 eV per formula unit; symmetry = Ia-3d; magnetization = 0.1001 μB/atom
1.0
-8.747 8.747 8.747
8.747 -8.747 8.747
8.747 8.747 -8.747
K Pm Cl
20 12 48
direct
0.000 0.000 0.000
0.000 0.000 0.500
0.000 0.500 0.000
0.000 0.500 0.500
0.125 0.750 0.875
0.125 0.875 0.250
0.250 0.125 0.875
0.250 0.625 0.375
0.375 0.250 0.625
0.375 0.625 0.750
0.500 0.000 0.000
0.500 0.000 0.500
0.500 0.500 0.000
0.500 0.500 0.500
0.625 0.375 0.250
0.625 0.750 0.375
0.750 0.375 0.625
0.750 0.875 0.125
0.875 0.125 0.750
0.875 0.250 0.125
0.125 0.250 0.375
0.125 0.375 0.750
0.250 0.375 0.125
0.250 0.875 0.625
0.375 0.125 0.250
0.375 0.750 0.125
0.625 0.250 0.875
0.625 0.875 0.750
0.750 0.125 0.375
0.750 0.625 0.875
0.875 0.625 0.250
0.875 0.750 0.625
0.055 0.626 0.385
0.055 0.929 0.670
0.071 0.241 0.126
0.071 0.330 0.945
0.115 0.741 0.670
0.115 0.874 0.445
0.126 0.071 0.241
0.126 0.555 0.885
0.170 0.241 0.615
0.170 0.429 0.555
0.241 0.126 0.071
0.241 0.615 0.170
0.259 0.330 0.885
0.259 0.429 0.374
0.330 0.885 0.259
0.330 0.945 0.071
0.374 0.259 0.429
0.374 0.615 0.945
0.385 0.055 0.626
0.385 0.830 0.759
0.429 0.374 0.259
0.429 0.555 0.170
0.445 0.115 0.874
0.445 0.830 0.571
0.555 0.170 0.429
0.555 0.885 0.126
0.571 0.445 0.830
0.571 0.626 0.741
0.615 0.170 0.241
0.615 0.945 0.374
0.626 0.385 0.055
0.626 0.741 0.571
0.670 0.055 0.929
0.670 0.115 0.741
0.741 0.571 0.626
0.741 0.670 0.115
0.759 0.385 0.830
0.759 0.874 0.929
0.830 0.571 0.445
0.830 0.759 0.385
0.874 0.445 0.115
0.874 0.929 0.759
0.885 0.126 0.555
0.885 0.259 0.330
0.929 0.670 0.055
0.929 0.759 0.874
0.945 0.071 0.330
0.945 0.374 0.615

=====

(8)
Mg6ZnGa12, relaxed, DFT PBE-GGA; energy above the most stable polymorph in this dataset = 27 meV/atom; symmetry = R-3; formation enthalpy at 0 K = -0.0201 eV/atom; magnetization = 0.0000 μB/atom
1.0
4.953 2.859 4.599
-4.953 2.859 4.599
0.000 -5.719 4.599
Mg Zn Ga
6 1 12
direct
0.200 0.216 0.650
0.216 0.650 0.200
0.350 0.800 0.784
0.650 0.200 0.216
0.784 0.350 0.800
0.800 0.784 0.350
0.000 0.000 0.000
0.038 0.340 0.084
0.084 0.038 0.340
0.112 0.604 0.578
0.340 0.084 0.038
0.396 0.422 0.888
0.422 0.888 0.396
0.578 0.112 0.604
0.604 0.578 0.112
0.660 0.916 0.962
0.888 0.396 0.422
0.916 0.962 0.660
0.962 0.660 0.916